! Ca2ZrRh GGA-PBE optimized geometry; values from VASP
&SYSTEM
  ibrav = 0, nat = 4, ntyp = 3
/
ATOMIC_SPECIES
Rh 102.91 Rh.upf
Zr 91.22 Zr.upf
Ca 40.08 Ca.upf
CELL_PARAMETERS angstrom
-0.031 -2.653 -1.902
1.261 -2.721 3.777
-5.759 -0.865 1.300
ATOMIC_POSITIONS crystal
Rh 0.500 0.500 0.250
Zr 0.500 0.500 0.750
Ca 0.000 0.000 0.483
Ca 0.000 0.000 0.017
! Relative energy among the computed polymorphs = 1.70 eV per formula unit
! Volume = 23.488 Å³/atom
! E = -4.81 eV/atom
! Mass density = 4.85 g/cm3
! DFT formation energy = 0.17 eV/atom